[1]
NdDyEr2In2 after structural relaxation. Source: OQMD via LeMat-Bulk, functional PBE.

```
data_NdDyEr2In2
_chemical_formula_sum 'Nd1 Dy1 Er2 In2'
_cell_length_a 5.3997
_cell_length_b 5.3997
_cell_length_c 6.7630
_cell_angle_alpha 90.00
_cell_angle_beta 90.00
_cell_angle_gamma 120.00
_space_group_name_H-M_alt 'P -6 m 2'
_space_group_IT_number 187
_space_group_name_Hall 'P -6 2'
loop_
_atom_site_label
_atom_site_type_symbol
_atom_site_fract_x
_atom_site_fract_y
_atom_site_fract_z
_atom_site_occupancy
Nd1 Nd 0.0000 0.0000 0.0000 1
Dy1 Dy 0.3333 0.6667 0.5000 1
Er1 Er 0.6667 0.3333 0.2550 1
In1 In 0.0000 0.0000 0.5000 1
In2 In 0.3333 0.6667 0.0000 1
```

***

[2]
DyErIn4Ni2 after structural relaxation. Source: OQMD via LeMat-Bulk, functional PBE.

```
data_DyErIn4Ni2
_chemical_formula_sum 'Dy2 Er2 In8 Ni4'
_cell_length_a 7.402
_cell_length_b 4.305
_cell_length_c 10.449
_cell_angle_alpha 90.00
_cell_angle_beta 90.00
_cell_angle_gamma 90.00
_space_group_name_H-M_alt 'A m m 2'
_space_group_IT_number 38
loop_
_space_group_symop_operation_xyz
'x,y,z'
'-x,-y,z'
'-x,y,z'
'x,-y,z'
'x,y+1/2,z+1/2'
'-x,-y+1/2,z+1/2'
'-x,y+1/2,z+1/2'
'x,-y+1/2,z+1/2'
loop_
_atom_site_label
_atom_site_type_symbol
_atom_site_fract_x
_atom_site_fract_y
_atom_site_fract_z
_atom_site_occupancy
Dy1 Dy 0.000 0.000 0.000 1
Er1 Er 0.500 0.000 0.135 1
In1 In 0.201 0.000 0.711 1
In2 In 0.300 0.000 0.424 1
Ni1 Ni 0.000 0.000 0.283 1
Ni2 Ni 0.500 0.000 0.853 1
```

***

[3]
DyErInNi2 after structural relaxation. Source: OQMD via LeMat-Bulk, functional PBE.

```
data_DyErInNi2
_chemical_formula_sum 'Dy2 Er2 In2 Ni4'
_cell_length_a 3.631
_cell_length_b 3.899
_cell_length_c 14.222
_cell_angle_alpha 90.00
_cell_angle_beta 90.00
_cell_angle_gamma 90.00
_space_group_name_H-M_alt 'A m m 2'
_space_group_IT_number 38
loop_
_space_group_symop_operation_xyz
'x,y,z'
'-x,-y,z'
'-x,y,z'
'x,-y,z'
'x,y+1/2,z+1/2'
'-x,-y+1/2,z+1/2'
'-x,y+1/2,z+1/2'
'x,-y+1/2,z+1/2'
loop_
_atom_site_label
_atom_site_type_symbol
_atom_site_fract_x
_atom_site_fract_y
_atom_site_fract_z
_atom_site_occupancy
Dy1 Dy 0.000 0.000 0.000 1
Er1 Er 0.000 0.000 0.723 1
In1 In 0.500 0.000 0.361 1
Ni1 Ni 0.500 0.000 0.163 1
Ni2 Ni 0.500 0.000 0.560 1
```

***

Total energy for the records above, in order: -26.027 -69.505 -51.556 eV per cell